Entry 1:
AlFeMo2 | GGA-PBE | relaxed Values from VASP.

Results
- Total magnetic moment: 2.173 μB/cell
- V: 58.05 Å³/cell
- Formation energy: 0.12 eV/atom

Quantum ESPRESSO input file:
```
&SYSTEM
  ibrav = 0, nat = 4, ntyp = 3
/
ATOMIC_SPECIES
Al 26.98 Al.upf
Fe 55.84 Fe.upf
Mo 95.94 Mo.upf
ATOMIC_POSITIONS angstrom
Al 0.000 0.000 0.000
Fe 2.263 2.263 0.000
Mo 0.000 2.263 1.417
Mo 2.263 0.000 1.417
CELL_PARAMETERS angstrom
4.526 0.000 0.000
0.000 4.526 0.000
0.000 0.000 2.835
```



Entry 2:
AlFeMo2 | GGA-PBE | relaxed Values from VASP.

Results
- Total magnetic moment: 2.282 μB/cell
- V: 58.27 Å³/cell
- Formation energy: -0.02 eV/atom

Quantum ESPRESSO input file:
```
&SYSTEM
  ibrav = 0, nat = 4, ntyp = 3
/
ATOMIC_SPECIES
Al 26.98 Al.upf
Fe 55.84 Fe.upf
Mo 95.94 Mo.upf
ATOMIC_POSITIONS angstrom
Al 0.000 0.000 0.000
Fe 1.871 1.871 0.000
Mo 0.000 1.871 2.080
Mo 1.871 0.000 2.080
CELL_PARAMETERS angstrom
3.743 0.000 0.000
0.000 3.743 0.000
0.000 0.000 4.159
```



Entry 3:
AlFe6Mo | GGA-PBE | relaxed Values from VASP.

Results
- Total magnetic moment: 41.862 μB/cell
- Energy above the lowest structure with this stoichiometry: 0 meV per atom
- V: 385.96 Å³/cell
- Formation energy: -0.05 eV/atom

Quantum ESPRESSO input file:
```
&SYSTEM
  ibrav = 0, nat = 32, ntyp = 3
/
ATOMIC_SPECIES
Al 26.98 Al.upf
Fe 55.84 Fe.upf
Mo 95.94 Mo.upf
ATOMIC_POSITIONS angstrom
Al 0.000 0.000 2.797
Al 0.000 0.000 8.483
Al 3.027 2.827 0.000
Al 3.027 -2.827 0.000
Fe 0.000 0.000 0.000
Fe 0.000 0.000 5.640
Fe 1.513 1.415 4.229
Fe 1.513 1.415 7.051
Fe 1.520 1.409 1.398
Fe 1.520 1.409 9.882
Fe 3.027 2.860 2.772
Fe 3.027 2.860 8.508
Fe 1.513 -1.415 4.229
Fe 1.513 -1.415 7.051
Fe 1.520 -1.409 1.398
Fe 1.520 -1.409 9.882
Fe 3.027 0.000 0.000
Fe 3.027 0.000 5.640
Fe 4.533 1.409 1.398
Fe 4.533 1.409 9.882
Fe 4.540 1.415 4.229
Fe 4.540 1.415 7.051
Fe 3.027 -2.860 2.772
Fe 3.027 -2.860 8.508
Fe 4.533 -1.409 1.398
Fe 4.533 -1.409 9.882
Fe 4.540 -1.415 4.229
Fe 4.540 -1.415 7.051
Mo 3.027 2.795 5.640
Mo 3.027 0.000 2.769
Mo 3.027 0.000 8.511
Mo 3.027 -2.795 5.640
CELL_PARAMETERS angstrom
3.027 -5.653 0.000
3.027 5.653 0.000
0.000 0.000 11.280
```